1.
# ReNiMo2, optimized geometry, DFT PBE
data_ReNiMo2
_space_group_name_H-M_alt 'P 1 2/m 1'
_space_group_IT_number 10
_space_group_name_Hall '-P 2y'
_cell_length_a 2.6278
_cell_length_b 4.2737
_cell_length_c 5.3596
_cell_angle_alpha 90.00
_cell_angle_beta 103.41
_cell_angle_gamma 90.00
loop_
_atom_site_label
_atom_site_type_symbol
_atom_site_fract_x
_atom_site_fract_y
_atom_site_fract_z
_atom_site_occupancy
Re1 Re 0.0000 0.0000 0.0000 1
Ni1 Ni 0.5000 0.0000 0.5000 1
Mo1 Mo 0.2222 0.5000 0.7434 1
# * crystal system: monoclinic
# * M_tot: 0.0 μB per formula unit
# * energy of formation from the pure elements: 0.118 eV per atom
# * relative energy among the computed polymorphs: 93 meV/atom
# * volume: 59 Å³/f.u.

---

2.
# TiCrCuS4, optimized geometry, DFT PBE
data_TiCrCuS4
_space_group_name_H-M_alt 'I m a 2'
_space_group_IT_number 46
_space_group_name_Hall 'I 2 -2a'
_cell_length_a 7.1343
_cell_length_b 9.9165
_cell_length_c 6.9748
_cell_angle_alpha 90.00
_cell_angle_beta 90.00
_cell_angle_gamma 90.00
loop_
_atom_site_label
_atom_site_type_symbol
_atom_site_fract_x
_atom_site_fract_y
_atom_site_fract_z
_atom_site_occupancy
Ti1 Ti 0.2500 0.2411 0.0000 1
Cr1 Cr 0.0000 0.0000 0.7738 1
Cu1 Cu 0.2500 0.6249 0.7799 1
S1 S 0.0090 0.2433 0.7669 1
S2 S 0.2500 0.0017 0.0091 1
S3 S 0.2500 0.0084 0.5430 1
# * crystal system: orthorhombic
# * M_tot: 3.0 μB per formula unit
# * formation energy without anion corrections: -0.90 eV per atom
# * relative energy among the computed polymorphs: 0 meV/atom
# * volume: 123 Å³/f.u.

---

3.
# BeRh2C4, optimized geometry, DFT PBE
data_BeRh2C4
_space_group_name_H-M_alt 'I 4/m m m'
_space_group_IT_number 139
_space_group_name_Hall '-I 4 2'
_cell_length_a 3.6151
_cell_length_b 3.6151
_cell_length_c 13.3746
_cell_angle_alpha 90.00
_cell_angle_beta 90.00
_cell_angle_gamma 90.00
loop_
_atom_site_label
_atom_site_type_symbol
_atom_site_fract_x
_atom_site_fract_y
_atom_site_fract_z
_atom_site_occupancy
Be1 Be 0.0000 0.0000 0.0000 1
Rh1 Rh 0.0000 0.0000 0.3984 1
C1 C 0.0000 0.0000 0.2690 1
C2 C 0.0000 0.5000 0.0000 1
# * crystal system: tetragonal
# * M_tot: 0.0 μB per formula unit
# * energy of formation from the pure elements: 1.908 eV per atom
# * volume: 87 Å³/f.u.

---

4.
# MnZn2Ir2, optimized geometry, DFT PBE
data_MnZn2Ir2
_space_group_name_H-M_alt 'P 4/m b m'
_space_group_IT_number 127
_space_group_name_Hall '-P 4 2ab'
_cell_length_a 7.0364
_cell_length_b 7.0364
_cell_length_c 2.9802
_cell_angle_alpha 90.00
_cell_angle_beta 90.00
_cell_angle_gamma 90.00
loop_
_atom_site_label
_atom_site_type_symbol
_atom_site_fract_x
_atom_site_fract_y
_atom_site_fract_z
_atom_site_occupancy
Mn1 Mn 0.0000 0.0000 0.0000 1
Zn1 Zn 0.1262 0.3738 0.0000 1
Ir1 Ir 0.1728 0.6728 0.5000 1
# * crystal system: tetragonal
# * M_tot: 4.4 μB per formula unit
# * energy of formation from the pure elements: 0.027 eV per atom
# * relative energy among the computed polymorphs: 16 meV/atom
# * volume: 74 Å³/f.u.

---

5.
# Na12LiTl6, optimized geometry, DFT PBE
data_Na12LiTl6
_space_group_name_H-M_alt 'R -3'
_space_group_IT_number 148
_space_group_name_Hall '-R 3'
_cell_length_a 11.5157
_cell_length_b 11.5157
_cell_length_c 14.7315
_cell_angle_alpha 90.00
_cell_angle_beta 90.00
_cell_angle_gamma 120.00
loop_
_atom_site_label
_atom_site_type_symbol
_atom_site_fract_x
_atom_site_fract_y
_atom_site_fract_z
_atom_site_occupancy
Na1 Na 0.0403 0.8484 0.3123 1
Na2 Na 0.0625 0.2223 0.9136 1
Li1 Li 0.0000 0.0000 0.5000 1
Tl1 Tl 0.0408 0.5924 0.2075 1
# * crystal system: trigonal
# * M_tot: 0.0 μB per formula unit
# * energy of formation from the pure elements: -0.090 eV per atom
# * volume: 564 Å³/f.u.

---

6.
# La12Sm7Tl, optimized geometry, DFT PBE
data_La12Sm7Tl
_space_group_name_H-M_alt 'I m -3'
_space_group_IT_number 204
_space_group_name_Hall '-I 2 2 3'
_cell_length_a 11.7229
_cell_length_b 11.7229
_cell_length_c 11.7229
_cell_angle_alpha 90.00
_cell_angle_beta 90.00
_cell_angle_gamma 90.00
loop_
_atom_site_label
_atom_site_type_symbol
_atom_site_fract_x
_atom_site_fract_y
_atom_site_fract_z
_atom_site_occupancy
La1 La 0.0000 0.2413 0.2400 1
Sm1 Sm 0.0000 0.0000 0.5000 1
Sm2 Sm 0.2500 0.2500 0.2500 1
Tl1 Tl 0.0000 0.0000 0.0000 1
# * crystal system: cubic
# * M_tot: 0.0 μB per formula unit
# * energy of formation from the pure elements: 0.537 eV per atom
# * volume: 806 Å³/f.u.

---

7.
# AcPm4Te8, optimized geometry, DFT PBE
data_AcPm4Te8
_space_group_name_H-M_alt 'R -3 m'
_space_group_IT_number 166
_space_group_name_Hall '-R 3 2"'
_cell_length_a 8.8833
_cell_length_b 8.8833
_cell_length_c 23.4229
_cell_angle_alpha 90.00
_cell_angle_beta 90.00
_cell_angle_gamma 120.00
loop_
_atom_site_label
_atom_site_type_symbol
_atom_site_fract_x
_atom_site_fract_y
_atom_site_fract_z
_atom_site_occupancy
Ac1 Ac 0.0000 0.0000 0.0000 1
Pm1 Pm 0.0000 0.0000 0.5000 1
Pm2 Pm 0.0000 0.5000 0.5000 1
Te1 Te 0.0000 0.0000 0.2437 1
Te2 Te 0.0046 0.5023 0.2459 1
# * crystal system: trigonal
# * M_tot: 0.0 μB per formula unit
# * formation energy without anion corrections: -1.34 eV per atom
# * volume: 534 Å³/f.u.

---

8.
# Sc4SiHg, optimized geometry, DFT PBE
data_Sc4SiHg
_space_group_name_H-M_alt 'F -4 3 m'
_space_group_IT_number 216
_space_group_name_Hall 'F -4 2 3'
_cell_length_a 8.0888
_cell_length_b 8.0888
_cell_length_c 8.0888
_cell_angle_alpha 90.00
_cell_angle_beta 90.00
_cell_angle_gamma 90.00
loop_
_atom_site_label
_atom_site_type_symbol
_atom_site_fract_x
_atom_site_fract_y
_atom_site_fract_z
_atom_site_occupancy
Sc1 Sc 0.1242 0.1242 0.1242 1
Si1 Si 0.2500 0.2500 0.7500 1
Hg1 Hg 0.0000 0.0000 0.5000 1
# * crystal system: cubic
# * M_tot: 0.0 μB per formula unit
# * formation energy without anion corrections: 0.27 eV per atom
# * volume: 132 Å³/f.u.

---

9.
# Sr2AuI, optimized geometry, DFT PBE
data_Sr2AuI
_space_group_name_H-M_alt 'P 4/m m m'
_space_group_IT_number 123
_space_group_name_Hall '-P 4 2'
_cell_length_a 3.9570
_cell_length_b 3.9570
_cell_length_c 8.5650
_cell_angle_alpha 90.00
_cell_angle_beta 90.00
_cell_angle_gamma 90.00
loop_
_atom_site_label
_atom_site_type_symbol
_atom_site_fract_x
_atom_site_fract_y
_atom_site_fract_z
_atom_site_occupancy
Sr1 Sr 0.0000 0.0000 0.2103 1
Au1 Au 0.5000 0.5000 0.0000 1
I1 I 0.5000 0.5000 0.5000 1
# * crystal system: tetragonal
# * M_tot: 0.0 μB per formula unit
# * formation energy without anion corrections: -0.94 eV per atom
# * relative energy among the computed polymorphs: 96 meV/atom
# * volume: 134 Å³/f.u.

---

10.
# Ta3Co20B6, optimized geometry, DFT PBE
data_Ta3Co20B6
_space_group_name_H-M_alt 'F m -3 m'
_space_group_IT_number 225
_space_group_name_Hall '-F 4 2 3'
_cell_length_a 10.5432
_cell_length_b 10.5432
_cell_length_c 10.5432
_cell_angle_alpha 90.00
_cell_angle_beta 90.00
_cell_angle_gamma 90.00
loop_
_atom_site_label
_atom_site_type_symbol
_atom_site_fract_x
_atom_site_fract_y
_atom_site_fract_z
_atom_site_occupancy
Ta1 Ta 0.0000 0.0000 0.0000 1
Ta2 Ta 0.2500 0.2500 0.2500 1
Co1 Co 0.0000 0.1716 0.1716 1
Co2 Co 0.1162 0.1162 0.3838 1
B1 B 0.0000 0.0000 0.2713 1
# * crystal system: cubic
# * M_tot: 12.8 μB per formula unit
# * energy of formation from the pure elements: -0.308 eV per atom
# * volume: 293 Å³/f.u.

---

11.
# Nd10Bi3Pb3, optimized geometry, DFT PBE
data_Nd10Bi3Pb3
_space_group_name_H-M_alt 'P -6 2 m'
_space_group_IT_number 189
_space_group_name_Hall 'P -6 -2'
_cell_length_a 9.4727
_cell_length_b 9.4727
_cell_length_c 6.7213
_cell_angle_alpha 90.00
_cell_angle_beta 90.00
_cell_angle_gamma 120.00
loop_
_atom_site_label
_atom_site_type_symbol
_atom_site_fract_x
_atom_site_fract_y
_atom_site_fract_z
_atom_site_occupancy
Nd1 Nd 0.0000 0.2423 0.0000 1
Nd2 Nd 0.0000 0.7575 0.5000 1
Nd3 Nd 0.3333 0.6667 0.2507 1
Bi1 Bi 0.0000 0.6098 0.0000 1
Pb1 Pb 0.0000 0.3906 0.5000 1
# * crystal system: hexagonal
# * M_tot: 0.0 μB per formula unit
# * energy of formation from the pure elements: -0.662 eV per atom
# * volume: 522 Å³/f.u.

---

12.
# LiAl3, optimized geometry, DFT PBE
data_LiAl3
_space_group_name_H-M_alt 'P m -3 m'
_space_group_IT_number 221
_space_group_name_Hall '-P 4 2 3'
_cell_length_a 4.0223
_cell_length_b 4.0223
_cell_length_c 4.0223
_cell_angle_alpha 90.00
_cell_angle_beta 90.00
_cell_angle_gamma 90.00
loop_
_atom_site_label
_atom_site_type_symbol
_atom_site_fract_x
_atom_site_fract_y
_atom_site_fract_z
_atom_site_occupancy
Li1 Li 0.0000 0.0000 0.0000 1
Al1 Al 0.0000 0.5000 0.5000 1
# * crystal system: cubic
# * M_tot: 0.0 μB per formula unit
# * energy of formation from the pure elements: -0.071 eV per atom
# * volume: 65 Å³/f.u.

---

13.
# Sm2AlSi, optimized geometry, DFT PBE
data_Sm2AlSi
_space_group_name_H-M_alt 'P 4/m m m'
_space_group_IT_number 123
_space_group_name_Hall '-P 4 2'
_cell_length_a 4.7907
_cell_length_b 4.7907
_cell_length_c 4.1349
_cell_angle_alpha 90.00
_cell_angle_beta 90.00
_cell_angle_gamma 90.00
loop_
_atom_site_label
_atom_site_type_symbol
_atom_site_fract_x
_atom_site_fract_y
_atom_site_fract_z
_atom_site_occupancy
Sm1 Sm 0.0000 0.5000 0.0000 1
Al1 Al 0.0000 0.0000 0.5000 1
Si1 Si 0.5000 0.5000 0.5000 1
# * crystal system: tetragonal
# * M_tot: 0.0 μB per formula unit
# * formation energy without anion corrections: -0.40 eV per atom
# * volume: 95 Å³/f.u.

---

14.
# BaSnSb2, optimized geometry, DFT PBE
data_BaSnSb2
_space_group_name_H-M_alt 'R -3 m'
_space_group_IT_number 166
_space_group_name_Hall '-R 3 2"'
_cell_length_a 4.4751
_cell_length_b 4.4751
_cell_length_c 24.8786
_cell_angle_alpha 90.00
_cell_angle_beta 90.00
_cell_angle_gamma 120.00
loop_
_atom_site_label
_atom_site_type_symbol
_atom_site_fract_x
_atom_site_fract_y
_atom_site_fract_z
_atom_site_occupancy
Ba1 Ba 0.0000 0.0000 0.0000 1
Sn1 Sn 0.0000 0.0000 0.5000 1
Sb1 Sb 0.0000 0.0000 0.2347 1
# * crystal system: trigonal
# * M_tot: 0.0 μB per formula unit
# * formation energy without anion corrections: -0.30 eV per atom
# * volume: 144 Å³/f.u.

---

15.
# Pr2Zn3IrPt12, optimized geometry, DFT PBE
data_Pr2Zn3IrPt12
_space_group_name_H-M_alt 'R -3 m'
_space_group_IT_number 166
_space_group_name_Hall '-R 3 2"'
_cell_length_a 6.8676
_cell_length_b 6.8676
_cell_length_c 25.9211
_cell_angle_alpha 90.00
_cell_angle_beta 90.00
_cell_angle_gamma 120.00
loop_
_atom_site_label
_atom_site_type_symbol
_atom_site_fract_x
_atom_site_fract_y
_atom_site_fract_z
_atom_site_occupancy
Pr1 Pr 0.0000 0.0000 0.1543 1
Zn1 Zn 0.0000 0.5000 0.0000 1
Ir1 Ir 0.0000 0.0000 0.5000 1
Pt1 Pt 0.0252 0.5126 0.1001 1
Pt2 Pt 0.0681 0.5340 0.6198 1
# * crystal system: trigonal
# * M_tot: 0.0 μB per formula unit
# * energy of formation from the pure elements: -0.245 eV per atom
# * volume: 353 Å³/f.u.

---

16.
# K2FeI5, optimized geometry, DFT PBE
data_K2FeI5
_space_group_name_H-M_alt 'C m c m'
_space_group_IT_number 63
_space_group_name_Hall '-C 2c 2'
_cell_length_a 6.5599
_cell_length_b 16.5055
_cell_length_c 14.8225
_cell_angle_alpha 90.00
_cell_angle_beta 90.00
_cell_angle_gamma 90.00
loop_
_atom_site_label
_atom_site_type_symbol
_atom_site_fract_x
_atom_site_fract_y
_atom_site_fract_z
_atom_site_occupancy
K1 K 0.0000 0.1643 0.0833 1
Fe1 Fe 0.0000 0.1649 0.7500 1
I1 I 0.0000 0.0516 0.6223 1
I2 I 0.0000 0.2848 0.6204 1
I3 I 0.0000 0.3195 0.2500 1
# * crystal system: orthorhombic
# * M_tot: 4.6 μB per formula unit
# * formation energy without anion corrections: -0.70 eV per atom
# * volume: 401 Å³/f.u.